Entry from Alexandria: a relaxed In6Ga6Hg crystal (PBE-GGA).

Values from the calculation:
Final energy, eV/atom: -2.6464
SG: Immm, No. 71

abc: 7.986 7.986 7.986
angles: 139.72 94.32 99.31
Element x y z (fractional)
In (0.660, 0.660, 0.000)
In (0.340, 0.340, 0.000)
In (0.352, 0.000, 0.352)
In (0.648, 0.000, 0.648)
In (0.165, 0.665, 0.500)
In (0.835, 0.335, 0.500)
Ga (0.500, 0.500, 0.500)
Ga (0.500, 0.000, 0.000)
Ga (0.000, 0.500, 0.000)
Ga (0.000, 0.000, 0.500)
Ga (0.766, 0.500, 0.266)
Ga (0.234, 0.500, 0.734)
Hg (0.000, 0.000, 0.000)